# 1
A geometry-optimized TlAgP2 structure, computed with PBE.

Geometry as POSCAR:
```
TlAgP2
1.0
0.000 3.405 3.405
3.405 0.000 3.405
3.405 3.405 0.000
Tl P Ag
1 2 1
Direct
0.500 0.500 0.500
0.250 0.250 0.250
0.750 0.750 0.750
0.000 0.000 0.000
```

Results
Energy relative to the lowest polymorph listed for this composition = 0.576 eV per atom
Calculated formation energy = 0.71 eV/atom
Electronic total energy = -13.21 eV for the cell shown
Spin magnetization = 0.00 μB/cell

# 2
A geometry-optimized TlAg2P structure, computed with PBE.

Geometry as POSCAR:
```
TlAg2P
1.0
3.050 0.006 0.000
-0.005 3.050 0.000
0.000 0.000 8.906
P Ag Tl
1 2 1
Direct
0.000 0.000 0.452
0.000 0.000 0.039
0.500 0.500 0.265
0.500 0.500 0.744
```

Results
Energy relative to the lowest polymorph listed for this composition = 0.132 eV per atom
Calculated formation energy = 0.32 eV/atom
Electronic total energy = -12.21 eV for the cell shown
Spin magnetization = 0.00 μB/cell

# 3
A geometry-optimized TlAgP2 structure, computed with PBE.

Geometry as POSCAR:
```
TlAgP2
1.0
3.621 0.000 0.000
0.000 3.625 0.000
0.000 0.000 6.764
P Ag Tl
2 1 1
Direct
0.000 0.000 0.593
0.000 0.000 0.907
0.500 0.500 0.750
0.500 0.500 0.250
```

Results
Energy relative to the lowest polymorph listed for this composition = 0.142 eV per atom
Calculated formation energy = 0.27 eV/atom
Electronic total energy = -14.95 eV for the cell shown
Spin magnetization = 0.00 μB/cell

Question: electronic total energy of number 3 (TlAgP2)?
Answer: -14.95 eV for the cell shown

Question: The lowest electronic total energy belongs to which entry?
Answer: number 3

Question: What is the calculated formation energy in the third record?
Answer: 0.27 eV/atom